The following is a DFT calculation (PBE-GGA) of a relaxed structure of TbCeNiRu. Values from VASP.

Output
Space-group type: No. 216
E_tot: -6.724 eV per atom
M_tot: 0.085 μB/atom
E_form: -318 meV per atom
DOS(E_F): 1.116 states/eV per atom
Relative energy among the computed polymorphs: 87 meV/atom

```
&SYSTEM
  ibrav = 0, nat = 4, ntyp = 4
/
ATOMIC_SPECIES
Ru 101.07 Ru.upf
Ni 58.69 Ni.upf
Tb 158.93 Tb.upf
Ce 140.12 Ce.upf
CELL_PARAMETERS angstrom
4.845 0.000 0.000
2.422 4.196 0.000
2.422 1.399 3.956
ATOMIC_POSITIONS angstrom
Ru 7.267 4.196 2.967
Ni 2.422 1.399 0.989
Tb 0.000 0.000 0.000
Ce 4.845 2.797 1.978
```